w:
This record from Alexandria describes Y2MoBr after structural relaxation. The functional is PBE.

Computed properties:
M_tot, μB per formula unit: 3.050
DOS at the Fermi energy, states/eV/atom: 0.6093

Geometry as CIF:
```
data_Y2MoBr
_chemical_formula_sum 'Y6 Mo3 Br3'
_space_group_name_H-M_alt 'R 3 m'
_space_group_IT_number 160
_space_group_name_Hall 'R 3 -2"'
_cell_length_a 3.4863
_cell_length_b 3.4863
_cell_length_c 30.2779
_cell_angle_alpha 90.00
_cell_angle_beta 90.00
_cell_angle_gamma 120.00
loop_
_atom_site_label
_atom_site_type_symbol
_atom_site_fract_x
_atom_site_fract_y
_atom_site_fract_z
Y1 Y 0.0000 0.0000 0.0000
Y2 Y 0.0000 0.0000 0.2313
Mo1 Mo 0.0000 0.0000 0.7397
Br1 Br 0.0000 0.0000 0.4945
```



x:
This record from Alexandria describes Y2MoBr after structural relaxation. The functional is PBE.

Computed properties:
M_tot, μB per formula unit: 0.590
DOS at the Fermi energy, states/eV/atom: 1.6561

Geometry as CIF:
```
data_Y2MoBr
_chemical_formula_sum 'Y8 Mo4 Br4'
_space_group_name_H-M_alt 'F -4 3 m'
_space_group_IT_number 216
_space_group_name_Hall 'F -4 2 3'
_cell_length_a 7.161
_cell_length_b 7.161
_cell_length_c 7.161
_cell_angle_alpha 90.00
_cell_angle_beta 90.00
_cell_angle_gamma 90.00
loop_
_atom_site_label
_atom_site_type_symbol
_atom_site_fract_x
_atom_site_fract_y
_atom_site_fract_z
Y1 Y 0.000 0.000 0.000
Y2 Y 0.250 0.250 0.250
Mo1 Mo 0.000 0.000 0.500
Br1 Br 0.250 0.250 0.750
```



Tell me which of them is the most stable. Sure, it is w.



w:
This record from Alexandria describes CaCo2W after structural relaxation. The functional is PBE.

Computed properties:
M_tot, μB per formula unit: 1.998
DOS at the Fermi energy, states/eV/atom: 0.2630

Geometry as CIF:
```
data_CaCo2W
_chemical_formula_sum 'Ca4 Co8 W4'
_space_group_name_H-M_alt 'F m -3 m'
_space_group_IT_number 225
_space_group_name_Hall '-F 4 2 3'
_cell_length_a 6.250
_cell_length_b 6.250
_cell_length_c 6.250
_cell_angle_alpha 90.00
_cell_angle_beta 90.00
_cell_angle_gamma 90.00
loop_
_atom_site_label
_atom_site_type_symbol
_atom_site_fract_x
_atom_site_fract_y
_atom_site_fract_z
Ca1 Ca 0.000 0.000 0.000
Co1 Co 0.250 0.250 0.250
W1 W 0.000 0.000 0.500
```



x:
This record from Alexandria describes CaCo2W after structural relaxation. The functional is PBE.

Computed properties:
M_tot, μB per formula unit: 0.331
DOS at the Fermi energy, states/eV/atom: 1.1863

Geometry as CIF:
```
data_CaCo2W
_chemical_formula_sum 'Ca2 Co4 W2'
_space_group_name_H-M_alt 'I m m 2'
_space_group_IT_number 44
_cell_length_a 2.684
_cell_length_b 4.532
_cell_length_c 9.984
_cell_angle_alpha 90.00
_cell_angle_beta 90.00
_cell_angle_gamma 90.00
loop_
_space_group_symop_operation_xyz
'x,y,z'
'-x,-y,z'
'-x,y,z'
'x,-y,z'
'x+1/2,y+1/2,z+1/2'
'-x+1/2,-y+1/2,z+1/2'
'-x+1/2,y+1/2,z+1/2'
'x+1/2,-y+1/2,z+1/2'
loop_
_atom_site_label
_atom_site_type_symbol
_atom_site_fract_x
_atom_site_fract_y
_atom_site_fract_z
Ca1 Ca 0.000 0.000 0.000
Co1 Co 0.000 0.000 0.484
Co2 Co 0.000 0.500 0.779
W1 W 0.000 0.500 0.207
```



Tell me which of them is the most stable. Sure, it is x.